<i>
Density functional theory data (PBE) for RbTc2I2 after structural relaxation.

Computed properties:
Fermi-level density of states: 0.5376 states/eV/atom
crystal system: tetragonal

a = 7.651 Å, b = 7.651 Å, c = 7.651 Å
α = 146.39°, β = 146.39°, γ = 48.27°
Fractional coordinates of all 5 atoms:
Rb: 0.000 0.000 0.000
Tc: 0.250 0.750 0.500
Tc: 0.750 0.250 0.500
I: 0.351 0.351 0.000
I: 0.649 0.649 0.000


<ii>
Density functional theory data (PBE) for RbTc2I2 after structural relaxation.

Computed properties:
Fermi-level density of states: 0.1952 states/eV/atom
crystal system: tetragonal

a = 9.492 Å, b = 9.492 Å, c = 4.896 Å
α = 90.00°, β = 90.00°, γ = 90.00°
Fractional coordinates of all 10 atoms:
Rb: 0.000 0.000 0.000
Rb: 0.500 0.500 0.000
Tc: 0.078 0.422 0.500
Tc: 0.422 0.922 0.500
Tc: 0.578 0.078 0.500
Tc: 0.922 0.578 0.500
I: 0.152 0.348 0.000
I: 0.348 0.848 0.000
I: 0.652 0.152 0.000
I: 0.848 0.652 0.000


Stability ranking, top entry: <i>; the second entry is 114 meV per atom less favorable.


<i>
Density functional theory data (PBE) for RbTc2I after structural relaxation.

Computed properties:
Fermi-level density of states: 1.3807 states/eV/atom
crystal system: tetragonal

a = 10.223 Å, b = 10.223 Å, c = 10.223 Å
α = 152.12°, β = 152.12°, γ = 39.84°
Fractional coordinates of all 8 atoms:
Rb: 0.000 0.000 0.000
Rb: 0.750 0.250 0.500
Tc: 0.372 0.625 0.247
Tc: 0.375 0.622 0.747
Tc: 0.378 0.125 0.753
Tc: 0.875 0.628 0.253
I: 0.250 0.750 0.500
I: 0.500 0.500 0.000


<ii>
Density functional theory data (PBE) for RbTc2I after structural relaxation.

Computed properties:
Fermi-level density of states: 1.5157 states/eV/atom
crystal system: cubic

a = 4.841 Å, b = 4.841 Å, c = 4.841 Å
α = 60.00°, β = 60.00°, γ = 60.00°
Fractional coordinates of all 4 atoms:
Rb: 0.000 0.000 0.000
Tc: 0.250 0.250 0.250
Tc: 0.750 0.750 0.750
I: 0.500 0.500 0.500


Stability ranking, top entry: <i>; the second entry is 728 meV per atom less favorable.


<i>
Density functional theory data (PBE) for RbTeI3 after structural relaxation.

Computed properties:
Fermi-level density of states: 0.2106 states/eV/atom
crystal system: tetragonal

a = 16.079 Å, b = 16.079 Å, c = 16.079 Å
α = 157.58°, β = 157.58°, γ = 31.92°
Fractional coordinates of all 10 atoms:
Rb: 0.000 0.000 0.000
Rb: 0.750 0.250 0.500
Te: 0.207 0.707 0.500
Te: 0.293 0.793 0.500
I: 0.308 0.308 0.000
I: 0.355 0.104 0.252
I: 0.692 0.692 0.000
I: 0.852 0.104 0.748
I: 0.896 0.148 0.252
I: 0.896 0.645 0.748


<ii>
Density functional theory data (PBE) for RbTeI3 after structural relaxation.

Computed properties:
Fermi-level density of states: 0.7998 states/eV/atom
crystal system: orthorhombic

a = 4.331 Å, b = 7.456 Å, c = 7.456 Å
α = 80.97°, β = 90.00°, γ = 90.00°
Fractional coordinates of all 5 atoms:
Rb: 0.000 0.000 0.000
Te: 0.500 0.693 0.693
I: 0.000 0.478 0.478
I: 0.500 0.012 0.408
I: 0.500 0.408 0.012


Stability ranking, top entry: <i>; the second entry is 142 meV per atom less favorable.